Entry from Alexandria: a relaxed structure of Te2PbO6 (PBE-GGA).

Computed properties:
- Offset from the most stable computed form: 0 meV per atom
- Formation energy (no corrections): -22.722 kcal/mol of atoms
- Crystal system: triclinic
- VASP energy: -5.401 eV/atom
- N(E_F): 0.00 states/eV/f.u.

The structure in POSCAR format:
```
Te2PbO6
1.0
6.1923 0.0000 0.0000
2.8598 6.6562 0.0000
2.8824 -0.3533 7.7813
Te Pb O
4 2 12
Cartesian
2.5397 2.6048 2.4314
6.4346 5.3619 6.7090
5.4998 0.9410 1.0724
9.3947 3.6980 5.3499
5.7498 5.4649 3.0760
6.1846 0.8380 4.7054
1.9399 0.9531 3.1646
3.7985 6.3211 0.7582
5.4214 3.8384 6.5353
4.1115 2.8023 3.6057
6.7459 6.3375 5.1355
3.7192 1.6441 0.9841
8.2153 4.6588 6.7972
5.1885 -0.0346 2.6458
7.8229 3.5006 4.1757
6.5131 2.4645 1.2461
8.1359 -0.0182 7.0232
9.9945 5.3498 4.6167
```